# NiSn2Au GGA-PBE optimized geometry
data_NiSn2Au
_chemical_formula_sum 'Ni1 Sn2 Au1'
_symmetry_space_group_name_H-M 'P 1'
_symmetry_Int_Tables_number 1
_cell_length_a 4.8228
_cell_length_b 4.8228
_cell_length_c 4.8228
_cell_angle_alpha 60.00
_cell_angle_beta 60.00
_cell_angle_gamma 60.00
loop_
_symmetry_equiv_pos_as_xyz
'x,y,z'
loop_
_atom_site_label
_atom_site_fract_x
_atom_site_fract_y
_atom_site_fract_z
Ni1 0.0000 0.0000 0.0000
Sn1 0.2500 0.2500 0.2500
Sn2 0.7500 0.7500 0.7500
Au1 0.5000 0.5000 0.5000
# space-group type = No. 225
# E_form = 0.109 eV/atom
# DOS at the Fermi energy = 3.14 states/eV/cell
# ΔE to the lowest computed polymorph = 337.8 meV/atom

***

# Mn2Tc3 GGA-PBE optimized geometry
data_Mn2Tc3
_chemical_formula_sum 'Mn4 Tc6'
_symmetry_space_group_name_H-M 'P 1'
_symmetry_Int_Tables_number 1
_cell_length_a 6.7238
_cell_length_b 5.1228
_cell_length_c 7.7818
_cell_angle_alpha 58.56
_cell_angle_beta 40.54
_cell_angle_gamma 80.90
loop_
_symmetry_equiv_pos_as_xyz
'x,y,z'
loop_
_atom_site_label
_atom_site_fract_x
_atom_site_fract_y
_atom_site_fract_z
Mn1 0.2710 0.7290 0.3256
Mn2 0.5756 0.9244 0.5210
Mn3 0.7290 0.2710 0.6744
Mn4 0.9244 0.5756 0.9790
Tc1 0.1227 0.8086 0.0827
Tc2 0.1673 0.2640 0.1273
Tc3 0.2640 0.1673 0.4414
Tc4 0.4516 0.4516 0.5484
Tc5 0.7016 0.7016 0.7984
Tc6 0.8086 0.1227 0.9860
# space-group type = No. 43
# E_form = 0.124 eV/atom
# DOS at the Fermi energy = 11.20 states/eV/cell
# ΔE to the lowest computed polymorph = 0.0 meV/atom

***

- The highest DOS at the Fermi energy belongs to which entry?
  Mn2Tc3